VASP calculation (PBE) on La5Dy6Sc after structural relaxation.

a = 9.5626 Å, b = 9.5626 Å, c = 6.1890 Å
α = 91.09°, β = 91.09°, γ = 44.63°
With the nearest neighbours (Å) after each atom.
Sites, in units of the cell vectors:
1 La 0.0000 0.0000 0.0000  8 Dy 3.57-3.60, 2 Sc 3.63, 2 La 3.66
2 La 0.1677 0.1677 0.6640  8 Dy 3.57-3.62, 4 La 3.63-3.68
3 La 0.3363 0.3363 0.3245  8 Dy 3.54-3.67, 1 Sc 3.56, 3 La 3.63-3.68
4 La 0.6637 0.6637 0.6755  8 Dy 3.54-3.67, 1 Sc 3.56, 3 La 3.63-3.68
5 La 0.8323 0.8323 0.3360  8 Dy 3.57-3.62, 4 La 3.63-3.68
6 Dy 0.0883 0.5836 0.8316  7 La 3.54-3.67, 1 Sc 3.55, 4 Dy 3.59-3.72
7 Dy 0.2539 0.7461 0.5000  6 La 3.55-3.62, 2 Sc 3.57, 4 Dy 3.57-3.69
8 Dy 0.4164 0.9117 0.1684  7 La 3.54-3.67, 1 Sc 3.55, 4 Dy 3.59-3.72
9 Dy 0.5836 0.0883 0.8316  7 La 3.54-3.67, 1 Sc 3.55, 4 Dy 3.59-3.72
10 Dy 0.7461 0.2539 0.5000  6 La 3.55-3.62, 2 Sc 3.57, 4 Dy 3.57-3.69
11 Dy 0.9117 0.4164 0.1684  7 La 3.54-3.67, 1 Sc 3.55, 4 Dy 3.59-3.72
12 Sc 0.5000 0.5000 0.0000  8 Dy 3.55-3.57, 4 La 3.56-3.63

- formation enthalpy at 0 K (eV/atom) = 0.04

VASP calculation (PBE) on LaNiP3 after structural relaxation.

a = 4.5264 Å, b = 4.5264 Å, c = 4.5264 Å
α = 90.00°, β = 90.00°, γ = 90.00°
With the nearest neighbours (Å) after each atom.
Sites, in units of the cell vectors:
1 La 0.0000 0.0000 0.0000  12 P 3.20
2 Ni 0.5000 0.5000 0.5000  6 P 2.26
3 P 0.0000 0.5000 0.5000  2 Ni 2.26
4 P 0.5000 0.0000 0.5000  2 Ni 2.26
5 P 0.5000 0.5000 0.0000  2 Ni 2.26

- formation enthalpy at 0 K (eV/atom) = -0.39

VASP calculation (PBE) on ScTcIN2 after structural relaxation.

a = 4.1298 Å, b = 4.1298 Å, c = 5.9258 Å
α = 90.00°, β = 90.00°, γ = 90.00°
With the nearest neighbours (Å) after each atom.
Sites, in units of the cell vectors:
1 Sc 0.0000 0.0000 0.0000  4 N 2.06
2 Tc 0.5000 0.5000 0.5000  4 I 2.92
3 I 0.0000 0.0000 0.5000  4 Tc 2.92, 2 Sc 2.96
4 N 0.0000 0.5000 0.0000  2 Sc 2.06
5 N 0.5000 0.0000 0.0000  2 Sc 2.06

- raw formation energy (kJ/mol of atoms) = 111.9

VASP calculation (PBE) on Sc3MnCu after structural relaxation.

a = 4.9303 Å, b = 4.9303 Å, c = 4.9303 Å
α = 90.00°, β = 90.00°, γ = 90.00°
With the nearest neighbours (Å) after each atom.
Sites, in units of the cell vectors:
1 Sc 0.0000 0.0000 0.5000  2 Cu 2.47
2 Sc 0.0000 0.5000 0.0000  2 Cu 2.47
3 Sc 0.5000 0.0000 0.0000  2 Cu 2.47
4 Mn 0.5000 0.5000 0.5000  12 Sc 3.49
5 Cu 0.0000 0.0000 0.0000  6 Sc 2.47

- formation enthalpy at 0 K (eV/atom) = 0.44

no.,volume (Å³ per cell)
1,398
2,93
3,101
4,120